PtAu3I9 | PBE-GGA | relaxed

SG: Cc (9)
E: -2.33 eV/atom

Cell lengths 11.8118, 11.8118, 12.4496 Å; angles 120.35, 120.35, 55.92 degrees
Fractional coordinates of all 26 atoms:
Pt 0.2468 0.7532 0.5000
Pt 0.7532 0.2468 0.0000
Au 0.0130 0.7737 0.6775
Au 0.1261 0.3730 0.2495
Au 0.3730 0.1261 0.7495
Au 0.4998 0.6382 0.2537
Au 0.6382 0.4998 0.7537
Au 0.7737 0.0130 0.1775
I 0.0113 0.2185 0.0251
I 0.1011 0.3621 0.8425
I 0.1972 0.8663 0.7326
I 0.2185 0.0113 0.5251
I 0.2813 0.4929 0.4703
I 0.2825 0.6385 0.2596
I 0.3621 0.1011 0.3425
I 0.4929 0.2813 0.9703
I 0.5354 0.6798 0.6280
I 0.5979 0.8750 0.4498
I 0.6231 0.8630 0.0649
I 0.6385 0.2825 0.7596
I 0.6798 0.5354 0.1280
I 0.8363 0.9611 0.8701
I 0.8630 0.6231 0.5649
I 0.8663 0.1972 0.2326
I 0.8750 0.5979 0.9498
I 0.9611 0.8363 0.3701

Ca7Bi3N2 | PBE-GGA | relaxed

SG: Cmmm (65)
E: -4.45 eV/atom
polymorph energy (0 for the lowest one): 27 meV/atom

Cell lengths 13.0186, 13.0186, 4.8472 Å; angles 90.00, 90.00, 158.12 degrees
Fractional coordinates of all 12 atoms:
Ca 0.0000 0.0000 0.0000
Ca 0.0964 0.9036 0.5000
Ca 0.1918 0.8082 0.0000
Ca 0.4031 0.5969 0.0000
Ca 0.5969 0.4031 0.0000
Ca 0.8082 0.1918 0.0000
Ca 0.9036 0.0964 0.5000
Bi 0.3104 0.6896 0.5000
Bi 0.5000 0.5000 0.5000
Bi 0.6896 0.3104 0.5000
N 0.0972 0.9028 0.0000
N 0.9028 0.0972 0.0000

Rb2TbPdO4 | PBE-GGA | relaxed

SG: Fddd (70)
E: -5.31 eV/atom

Cell lengths 13.6690, 12.1615, 7.5242 Å; angles 84.46, 62.32, 33.22 degrees
Fractional coordinates of all 16 atoms:
Rb 0.0704 0.0704 0.6796
Rb 0.3204 0.3204 0.9296
Rb 0.6796 0.6796 0.0704
Rb 0.9296 0.9296 0.3204
Tb 0.1250 0.1250 0.1250
Tb 0.8750 0.8750 0.8750
Pd 0.3750 0.3750 0.3750
Pd 0.6250 0.6250 0.6250
O 0.0178 0.6917 0.5283
O 0.2622 0.5283 0.6917
O 0.3083 0.9822 0.7378
O 0.4717 0.7378 0.9822
O 0.5283 0.2622 0.0178
O 0.6917 0.0178 0.2622
O 0.7378 0.4717 0.3083
O 0.9822 0.3083 0.4717

AlRuW2 | PBE-GGA | relaxed

SG: R3m (160)
E: -9.68 eV/atom
formation energy: 0.05 eV per atom

Cell lengths 9.1388, 9.1388, 9.1388 Å; angles 17.71, 17.71, 17.71 degrees
Fractional coordinates of all 4 atoms:
Al 0.0000 0.0000 0.0000
Ru 0.7452 0.7452 0.7452
W 0.2482 0.2482 0.2482
W 0.4914 0.4914 0.4914

YRuPb2 | PBE-GGA | relaxed

SG: I-4m2 (119)
E: -5.69 eV/atom
formation energy: 0.10 eV per atom

Cell lengths 5.6923, 5.6923, 5.6923 Å; angles 134.11, 134.11, 66.92 degrees
Fractional coordinates of all 4 atoms:
Y 0.0000 0.0000 0.0000
Ru 0.7500 0.2500 0.5000
Pb 0.2500 0.7500 0.5000
Pb 0.5000 0.5000 0.0000

ZnSiRh2 | PBE-GGA | relaxed

SG: I-42d (122)
E: -5.63 eV/atom
polymorph energy (0 for the lowest one): 397 meV/atom

Cell lengths 5.4340, 5.4340, 5.4340 Å; angles 105.09, 105.09, 118.63 degrees
Fractional coordinates of all 8 atoms:
Zn 0.0000 0.0000 0.0000
Zn 0.7500 0.2500 0.5000
Si 0.2500 0.7500 0.5000
Si 0.5000 0.5000 0.0000
Rh 0.1648 0.6250 0.0398
Rh 0.3750 0.4148 0.5398
Rh 0.5852 0.1250 0.9602
Rh 0.8750 0.8352 0.4602

Cu3TcHg | PBE-GGA | relaxed

SG: Pm-3m (221)
E: -3.09 eV/atom
polymorph energy (0 for the lowest one): 194 meV/atom
formation energy: 1.50 eV per atom

Cell lengths 4.7499, 4.7499, 4.7499 Å; angles 90.00, 90.00, 90.00 degrees
Fractional coordinates of all 5 atoms:
Cu 0.0000 0.0000 0.5000
Cu 0.0000 0.5000 0.0000
Cu 0.5000 0.0000 0.0000
Tc 0.5000 0.5000 0.5000
Hg 0.0000 0.0000 0.0000

Li2PBr | PBE-GGA | relaxed

SG: I-4m2 (119)
E: -3.15 eV/atom
polymorph energy (0 for the lowest one): 166 meV/atom

Cell lengths 7.5620, 7.5620, 7.5620 Å; angles 152.49, 152.49, 39.30 degrees
Fractional coordinates of all 4 atoms:
Li 0.0000 0.0000 0.0000
Li 0.7500 0.2500 0.5000
P 0.2500 0.7500 0.5000
Br 0.5000 0.5000 0.0000

CaCe2MgTl4 | PBE-GGA | relaxed

SG: R-3m (166)
E: -3.38 eV/atom
formation energy: -0.27 eV per atom

Cell lengths 9.4962, 9.4962, 9.4962 Å; angles 33.00, 33.00, 33.00 degrees
Fractional coordinates of all 8 atoms:
Ca 0.0000 0.0000 0.0000
Ce 0.2451 0.2451 0.2451
Ce 0.7549 0.7549 0.7549
Mg 0.5000 0.5000 0.5000
Tl 0.1251 0.1251 0.1251
Tl 0.3755 0.3755 0.3755
Tl 0.6245 0.6245 0.6245
Tl 0.8749 0.8749 0.8749

Hf8CoNi2 | PBE-GGA | relaxed

SG: C2/m (12)
E: -9.10 eV/atom
formation energy: -0.17 eV per atom

Cell lengths 8.4336, 8.4336, 5.9269 Å; angles 107.39, 107.39, 31.71 degrees
Fractional coordinates of all 11 atoms:
Hf 0.0255 0.0255 0.2735
Hf 0.2016 0.2016 0.8466
Hf 0.3295 0.3295 0.4974
Hf 0.4105 0.4105 0.0361
Hf 0.5895 0.5895 0.9639
Hf 0.6705 0.6705 0.5026
Hf 0.7984 0.7984 0.1534
Hf 0.9745 0.9745 0.7265
Co 0.5000 0.5000 0.5000
Ni 0.1736 0.1736 0.2424
Ni 0.8264 0.8264 0.7576